Entry A
NdCd2Ga: optimized geometry, GGA-PBE.

a b c (Å): 4.435 4.435 4.916
angles (deg): 90.00 90.00 90.00
Space group P4/mmm (No. 123)
Asymmetric unit:
Nd 0.000 0.000 0.000 x1
Cd 0.000 0.500 0.500 x2
Ga 0.500 0.500 0.000 x1

Summary:
Density of states at the Fermi level (states/eV per atom): 0.72

Entry B
NdCd2Ga: optimized geometry, GGA-PBE.

a b c (Å): 3.2805 3.2805 33.4779
angles (deg): 90.00 90.00 120.00
Space group R-3m (No. 166, hexagonal axes)
Asymmetric unit:
Nd 0.0000 0.0000 0.0000 x3
Cd 0.0000 0.0000 0.0962 x6
Ga 0.0000 0.0000 0.5000 x3

Summary:
Density of states at the Fermi level (states/eV per atom): 0.95

entry A comes first in stability; the runner-up is 522 meV per atom higher.

Entry A
Nd2Cd3Ga: optimized geometry, GGA-PBE.

a b c (Å): 3.657 4.909 8.471
angles (deg): 90.00 90.00 90.00
Space group Pmm2 (No. 25)
Asymmetric unit:
Nd 0.000 0.000 0.000 x1
Nd 0.000 0.500 0.476 x1
Cd 0.500 0.000 0.651 x1
Cd 0.500 0.500 0.155 x1
Cd 0.500 0.500 0.818 x1
Ga 0.500 0.000 0.323 x1

Summary:
Density of states at the Fermi level (states/eV per atom): 0.89

Entry B
Nd2Cd3Ga: optimized geometry, GGA-PBE.

a b c (Å): 4.071 4.686 16.907
angles (deg): 90.00 90.00 90.00
Space group Imm2 (No. 44)
Asymmetric unit:
Nd 0.000 0.000 0.000 x2
Nd 0.000 0.500 0.276 x2
Cd 0.000 0.000 0.597 x2
Cd 0.000 0.500 0.682 x2
Cd 0.000 0.500 0.846 x2
Ga 0.000 0.000 0.441 x2

Summary:
Density of states at the Fermi level (states/eV per atom): 1.10

entry A comes first in stability; the runner-up is 95 meV per atom higher.

Entry A
NdYCdGa: optimized geometry, GGA-PBE.

a b c (Å): 7.454 7.454 7.454
angles (deg): 90.00 90.00 90.00
Space group F-43m (No. 216)
Asymmetric unit:
Nd 0.000 0.000 0.000 x4
Y 0.000 0.000 0.500 x4
Cd 0.250 0.250 0.250 x4
Ga 0.250 0.250 0.750 x4

Summary:
Density of states at the Fermi level (states/eV per atom): 0.92

Entry B
NdYCdGa: optimized geometry, GGA-PBE.

a b c (Å): 3.674 3.674 7.633
angles (deg): 90.00 90.00 90.00
Space group P4mm (No. 99)
Asymmetric unit:
Nd 0.000 0.000 0.000 x1
Y 0.000 0.000 0.469 x1
Cd 0.500 0.500 0.719 x1
Ga 0.500 0.500 0.246 x1

Summary:
Density of states at the Fermi level (states/eV per atom): 0.69

entry B comes first in stability; the runner-up is 15 meV per atom higher.

Entry A
Cd2Ga2Ni: optimized geometry, GGA-PBE.

a b c (Å): 6.921 6.921 4.164
angles (deg): 90.00 90.00 90.00
Space group P4/mbm (No. 127)
Asymmetric unit:
Cd 0.152 0.348 0.000 x4
Ga 0.161 0.661 0.500 x4
Ni 0.000 0.000 0.000 x2

Summary:
Density of states at the Fermi level (states/eV per atom): 0.51

Entry B
Cd2Ga2Ni: optimized geometry, GGA-PBE.

a b c (Å): 6.440 6.440 4.459
angles (deg): 90.00 90.00 90.00
Space group P4/mbm (No. 127)
Asymmetric unit:
Cd 0.173 0.327 0.000 x4
Ga 0.147 0.647 0.500 x4
Ni 0.000 0.000 0.500 x2

Summary:
Density of states at the Fermi level (states/eV per atom): 0.39

entry B comes first in stability; the runner-up is 234 meV per atom higher.

Entry A
CdGaNi2: optimized geometry, GGA-PBE.

a b c (Å): 2.903 2.903 6.592
angles (deg): 90.00 90.00 90.00
Space group P4/mmm (No. 123)
Asymmetric unit:
Cd 0.000 0.000 0.000 x1
Ga 0.000 0.000 0.500 x1
Ni 0.500 0.500 0.289 x2

Summary:
Density of states at the Fermi level (states/eV per atom): 0.63

Entry B
CdGaNi2: optimized geometry, GGA-PBE.

a b c (Å): 4.312 4.312 2.998
angles (deg): 90.00 90.00 90.00
Space group P4/mmm (No. 123)
Asymmetric unit:
Cd 0.000 0.000 0.000 x1
Ga 0.500 0.500 0.000 x1
Ni 0.000 0.500 0.500 x2

Summary:
Density of states at the Fermi level (states/eV per atom): 0.70

Entry C
CdGaNi2: optimized geometry, GGA-PBE.

a b c (Å): 3.943 3.943 16.899
angles (deg): 90.00 90.00 90.00
Space group I-42d (No. 122)
Asymmetric unit:
Cd 0.000 0.000 0.000 x4
Ga 0.000 0.000 0.500 x4
Ni 0.179 0.250 0.625 x8

Summary:
Density of states at the Fermi level (states/eV per atom): 0.56

entry A comes first in stability; the runner-up is 99 meV per atom higher.

Entry A
TlCdGa2Ni: optimized geometry, GGA-PBE.

a b c (Å): 5.070 5.070 5.671
angles (deg): 90.00 90.00 90.00
Space group P4/mmm (No. 123)
Asymmetric unit:
Tl 0.000 0.000 0.000 x1
Cd 0.000 0.000 0.500 x1
Ga 0.000 0.500 0.500 x2
Ni 0.500 0.500 0.000 x1

Summary:
Density of states at the Fermi level (states/eV per atom): 1.93

Entry B
TlCdGa2Ni: optimized geometry, GGA-PBE.

a b c (Å): 4.641 4.641 5.106
angles (deg): 90.00 90.00 90.00
Space group P4/mmm (No. 123)
Asymmetric unit:
Tl 0.000 0.000 0.000 x1
Cd 0.500 0.500 0.000 x1
Ga 0.000 0.500 0.500 x2
Ni 0.500 0.500 0.500 x1

Summary:
Density of states at the Fermi level (states/eV per atom): 0.55

entry B comes first in stability; the runner-up is 980 meV per atom higher.

Entry A
Tl2CdGaNi: optimized geometry, GGA-PBE.

a b c (Å): 5.449 5.449 5.036
angles (deg): 90.00 90.00 90.00
Space group P4/mmm (No. 123)
Asymmetric unit:
Tl 0.000 0.500 0.000 x2
Cd 0.000 0.000 0.500 x1
Ga 0.000 0.000 0.000 x1
Ni 0.500 0.500 0.500 x1

Summary:
Density of states at the Fermi level (states/eV per atom): 1.09

Entry B
Tl2CdGaNi: optimized geometry, GGA-PBE.

a b c (Å): 5.166 5.166 4.674
angles (deg): 90.00 90.00 90.00
Space group P4/mmm (No. 123)
Asymmetric unit:
Tl 0.000 0.500 0.000 x2
Cd 0.000 0.000 0.500 x1
Ga 0.500 0.500 0.500 x1
Ni 0.500 0.500 0.000 x1

Summary:
Density of states at the Fermi level (states/eV per atom): 0.61

entry B comes first in stability; the runner-up is 719 meV per atom higher.

Entry A
Cd3GaO: optimized geometry, GGA-PBE.

a b c (Å): 5.090 5.090 5.090
angles (deg): 90.00 90.00 90.00
Space group Pm-3m (No. 221)
Asymmetric unit:
Cd 0.000 0.000 0.500 x3
Ga 0.000 0.000 0.000 x1
O 0.500 0.500 0.500 x1

Summary:
Density of states at the Fermi level (states/eV per atom): 1.30

Entry B
Cd3GaO: optimized geometry, GGA-PBE.

a b c (Å): 4.666 4.666 4.666
angles (deg): 90.00 90.00 90.00
Space group Pm-3m (No. 221)
Asymmetric unit:
Cd 0.000 0.000 0.500 x3
Ga 0.500 0.500 0.500 x1
O 0.000 0.000 0.000 x1

Summary:
Density of states at the Fermi level (states/eV per atom): 0.31

entry B comes first in stability; the runner-up is 563 meV per atom higher.